(1)
A plane-wave DFT calculation with GGA-PBE was carried out for Pm5Dy12Tl2 after structural relaxation.

Geometry as extended XYZ:
```
19
Lattice="7.727 -4.690 0.000 7.727 4.690 0.000 -0.327 0.000 8.368" Properties=species:S:1:pos:R:3 pbc="T T T"
Pm 0.000 0.000 0.000
Pm 3.592 0.000 0.675
Pm 4.620 0.000 4.130
Pm 10.507 0.000 4.238
Pm 11.535 0.000 7.693
Dy 5.372 2.966 2.207
Dy 1.129 0.000 3.199
Dy 5.508 1.815 7.009
Dy 9.755 2.966 6.161
Dy 9.619 1.815 1.359
Dy 6.850 0.000 1.490
Dy 8.277 0.000 6.878
Dy 5.508 -1.815 7.009
Dy 5.372 -2.966 2.207
Dy 9.619 -1.815 1.359
Dy 13.998 0.000 5.169
Dy 9.755 -2.966 6.161
Tl 7.564 1.745 4.184
Tl 7.564 -1.745 4.184
```

Values from the calculation:
Volume (Å³ per atom): 31.922
E_tot (eV/atom): -4.391
Energy relative to the elements (meV/atom): 15

***

(2)
A plane-wave DFT calculation with GGA-PBE was carried out for MnAlAs2 after structural relaxation.

Geometry as extended XYZ:
```
4
Lattice="1.471 0.849 8.913 -1.471 0.849 8.913 0.000 -1.698 8.913" Properties=species:S:1:pos:R:3 pbc="T T T"
Mn 0.000 0.000 0.000
Al 0.000 0.000 13.369
As 0.000 0.000 7.169
As 0.000 0.000 19.569
```

Values from the calculation:
Volume (Å³ per atom): 16.697
E_tot (eV/atom): -5.473
Energy relative to the elements (meV/atom): 80

***

(3)
A plane-wave DFT calculation with GGA-PBE was carried out for CsRb2Sn2 after structural relaxation.

Geometry as extended XYZ:
```
5
Lattice="-3.064 3.064 7.030 3.064 -3.064 7.030 3.064 3.064 -7.030" Properties=species:S:1:pos:R:3 pbc="T T T"
Cs 0.000 0.000 0.000
Rb 0.000 0.000 5.266
Rb 0.000 0.000 8.793
Sn 3.064 0.000 3.515
Sn 0.000 3.064 3.515
```

Values from the calculation:
Relative energy among the computed polymorphs (meV/atom): 383.1
Volume (Å³ per atom): 52.789
E_tot (eV/atom): -1.920
Energy relative to the elements (meV/atom): 239

***

(4)
A plane-wave DFT calculation with GGA-PBE was carried out for SnMoPS2 after structural relaxation.

Geometry as extended XYZ:
```
5
Lattice="4.929 0.000 0.000 0.000 4.929 0.000 0.000 0.000 5.014" Properties=species:S:1:pos:R:3 pbc="T T T"
Sn 0.000 0.000 0.000
Mo 2.464 2.464 2.507
P 0.000 0.000 2.507
S 0.000 2.464 0.000
S 2.464 0.000 0.000
```

Values from the calculation:
Relative energy among the computed polymorphs (meV/atom): 1053.5
Volume (Å³ per atom): 24.356
E_tot (eV/atom): -4.543
Formation energy from raw total energies (eV per atom): 1.156